K2Ir: relaxed, PBE.

Cell lengths 5.907, 5.907, 5.907 Å; angles 152.80, 125.51, 61.95 degrees
Atoms (fractional coordinates):
K (0.160, 0.160, 0.000)
K (0.840, 0.840, 0.000)
Ir (0.500, 0.500, 0.000)

Calculated values
- ΔH_f (0 K) (eV/atom) = 0.733
- SG = No. 71
- DOS(E_F) (states/eV per cell) = 1.1
- spin magnetization (μB/cell) = 0.00